A plane-wave DFT calculation with PBE was carried out for a relaxed Li2ZrInFe crystal.

a = 4.669 Å, b = 4.531 Å, c = 4.669 Å
α = 90.00°, β = 90.00°, γ = 90.00°
Positions (direct):
Fe1 0.000 0.000 0.000
In1 0.500 0.500 0.500
Zr1 0.000 0.500 0.000
Li1 0.000 0.000 0.500
Li2 0.500 0.000 0.000

Values from the calculation:
**D(E_F)**: 0.81 states/eV per atom
**Space-group type**: P4/mmm (123)
**ΔH_f (0 K)**: 0.419 eV per atom